Entry from Alexandria via LeMat-Bulk: an optimized crystal structure of Cs2KMnH6 (PBE-GGA).

* VASP energy: -3.3267 eV/atom
* V: 22.3 Å³ per atom

Lattice parameters (Å, degrees): 6.309 6.309 6.481 90.00 90.00 120.00
Atoms (fractional coordinates):
Cs1 0.333 0.667 0.153
Cs2 0.667 0.333 0.847
K1 0.000 0.000 0.500
Mn1 0.000 0.000 0.000
H1 0.126 0.251 0.849
H2 0.126 0.874 0.849
H3 0.251 0.126 0.151
H4 0.749 0.874 0.849
H5 0.874 0.126 0.151
H6 0.874 0.749 0.151